No. 1
TaZnRu2 | PBE | optimized geometry

a = 4.569 Å, b = 4.569 Å, c = 4.857 Å
α = 75.49°, β = 75.49°, γ = 38.39°
Fractional positions:
Ru 0.504 0.504 0.507
Ru 0.996 0.996 0.993
Ta 0.250 0.250 0.250
Zn 0.750 0.750 0.750

Symmetry: No. 12

---

No. 2
TaZnRu2 | PBE | optimized geometry

a = 3.148 Å, b = 3.148 Å, c = 6.013 Å
α = 90.00°, β = 90.00°, γ = 90.00°
Fractional positions:
Ru 0.000 0.000 0.505
Ru 0.000 0.000 0.995
Zn 0.500 0.500 0.750
Ta 0.500 0.500 0.250

Symmetry: No. 123

---

Number 1: calculated formation energy -9.9 kJ/mol of atoms. Number 2: calculated formation energy -33.7 kJ/mol of atoms.